Computed, not measured: crystalline Rb3FeF3 at its relaxed geometry at the GGA+U level of DFT.

Lattice parameters (Å, degrees): 6.690 6.284 10.788 76.52 77.62 61.84
Site moments in Bohr magnetons follow the coordinates.
Fractional coordinates of all 14 atoms:
Rb (0.421, 0.369, 0.846)  0.00
Rb (0.802, 0.721, 0.784)  0.00
Rb (0.901, 0.887, 0.400)  0.00
Rb (0.286, 0.247, 0.208)  0.00
Rb (0.172, 0.109, 0.618)  0.00
Rb (0.659, 0.596, 0.152)  0.00
Fe (0.051, 0.969, 0.002)  3.83
Fe (0.529, 0.503, 0.504)  3.71
F (0.584, 0.156, 0.606)  0.04
F (0.023, 0.649, 0.003)  0.03
F (0.195, 0.635, 0.627)  0.01
F (0.880, 0.226, 0.857)  0.03
F (0.741, 0.098, 0.141)  0.02
F (0.367, 0.825, 0.382)  0.04

Results
Calculated density = 3.18 g/cm³
Raw total energy = -3.86 eV per atom
Total magnetization = 4.00 μB per formula unit